Record 1
The following is a PBE-GGA calculation of a geometry-optimized Na2Cd2Au15 structure, from Alexandria.

Cell lengths 7.358, 7.358, 7.358 Å; angles 82.58, 82.58, 82.58 degrees
Element x y z (fractional)
Au 0.685 0.315 0.000
Au 0.685 0.000 0.315
Au 0.000 0.315 0.685
Na 0.353 0.353 0.353
Au 0.315 0.685 0.000
Au 0.315 0.000 0.685
Cd 0.102 0.102 0.102
Na 0.647 0.647 0.647
Au 0.000 0.500 0.000
Au 0.344 0.344 0.840
Au 0.000 0.685 0.315
Au 0.840 0.344 0.344
Au 0.656 0.160 0.656
Au 0.000 0.000 0.500
Au 0.500 0.000 0.000
Cd 0.898 0.898 0.898
Au 0.344 0.840 0.344
Au 0.656 0.656 0.160
Au 0.160 0.656 0.656

**Energy of formation**: -0.13 eV/atom

Record 2
The following is a PBE-GGA calculation of a geometry-optimized YMg2Cu structure, from Alexandria.

Cell lengths 4.891, 4.891, 4.891 Å; angles 60.00, 60.00, 60.00 degrees
Element x y z (fractional)
Mg 0.750 0.750 0.750
Cu 0.000 0.000 0.000
Mg 0.250 0.250 0.250
Y 0.500 0.500 0.500

**Energy of formation**: 0.04 eV/atom

Record 3
The following is a PBE-GGA calculation of a geometry-optimized NaSrGa3 structure, from Alexandria.

Cell lengths 5.211, 5.211, 5.211 Å; angles 90.00, 90.00, 90.00 degrees
Element x y z (fractional)
Ga 0.000 0.500 0.000
Ga 0.500 0.000 0.000
Ga 0.000 0.000 0.500
Na 0.000 0.000 0.000
Sr 0.500 0.500 0.500

**Energy of formation**: 0.23 eV/atom

Record 4
The following is a PBE-GGA calculation of a geometry-optimized NdSm8Cd2 structure, from Alexandria.

Cell lengths 6.690, 8.627, 8.627 Å; angles 46.79, 100.37, 100.37 degrees
Element x y z (fractional)
Sm 0.585 0.637 0.165
Cd 0.699 0.756 0.756
Sm 0.415 0.835 0.363
Sm 0.415 0.363 0.835
Nd 0.000 0.000 0.000
Sm 0.091 0.412 0.412
Sm 0.821 0.209 0.209
Sm 0.585 0.165 0.637
Sm 0.179 0.791 0.791
Sm 0.909 0.588 0.588
Cd 0.301 0.244 0.244

**Energy of formation**: 0.02 eV/atom